# 1
An optimized crystal structure of CrGaW2, computed with GGA-PBE.

Structure (POSCAR):
```
CrGaW2
1.0
-1.0163 -1.4015 6.8960
5.3128 -4.7218 -0.1766
3.8293 -1.1936 3.9871
W Ga Cr
4 2 2
direct
0.3750 0.4224 0.7500
0.5776 0.1250 0.2500
0.1724 0.6250 0.2500
0.8750 0.8276 0.7500
0.7500 0.2500 0.5000
0.0000 0.0000 0.0000
0.5000 0.5000 0.0000
0.2500 0.7500 0.5000
```

Properties
Raw total energy, eV per formula unit: -35.3

=====

# 2
An optimized crystal structure of Mn2V2Hg, computed with GGA-PBE.

Structure (POSCAR):
```
Mn2V2Hg
1.0
-4.7167 2.7518 -4.5113
-5.1635 -3.6858 3.1503
-0.4575 2.1932 1.8161
Mn V Hg
4 4 2
direct
0.8649 0.6351 0.0000
0.1351 0.3649 0.0000
0.6351 0.1351 0.0000
0.3649 0.8649 0.0000
0.8453 0.3453 0.5000
0.6547 0.8453 0.5000
0.3453 0.1547 0.5000
0.1547 0.6547 0.5000
0.5000 0.5000 0.0000
0.0000 0.0000 0.0000
```

Properties
Raw total energy, eV per formula unit: -35.7
Energy above the lowest structure with this stoichiometry, meV/atom: 0

=====

# 3
An optimized crystal structure of CeHo3Sc2Se6, computed with GGA-PBE.

Structure (POSCAR):
```
CeHo3Sc2Se6
1.0
6.9810 -0.0119 -0.0083
-3.4990 6.0407 -0.0083
-1.1692 -2.0245 6.5670
Ho Se Sc Ce
3 6 2 1
direct
0.8398 0.1602 0.5000
0.5000 0.5000 0.5000
0.1602 0.8398 0.5000
0.0821 0.4305 0.2473
0.4305 0.0821 0.2473
0.5695 0.9179 0.7527
0.9179 0.5695 0.7527
0.2687 0.2687 0.7598
0.7313 0.7313 0.2402
0.3323 0.6677 0.0000
0.6677 0.3323 0.0000
0.0000 0.0000 0.0000
```

Properties
E_form (uncorrected), eV per formula unit: -20.20
Raw total energy, eV per formula unit: -73.4

=====

# 4
An optimized crystal structure of CsReRu2, computed with GGA-PBE.

Structure (POSCAR):
```
CsReRu2
1.0
0.0000 3.3107 3.3107
3.3107 0.0000 3.3107
3.3107 3.3107 0.0000
Re Cs Ru
1 1 2
direct
0.5000 0.5000 0.5000
0.0000 0.0000 0.0000
0.2500 0.2500 0.2500
0.7500 0.7500 0.7500
```

Properties
Raw total energy, eV per formula unit: -24.3